Entry 1:
TbCePm2As4 | PBE-GGA | optimized geometry

Structure (CIF):
```
data_TbCePm2As4
_cell_length_a 7.278
_cell_length_b 4.206
_cell_length_c 7.287
_cell_angle_alpha 90.00
_cell_angle_beta 109.40
_cell_angle_gamma 90.00
_space_group_name_H-M_alt 'P 1 2/m 1'
_space_group_IT_number 10
loop_
_space_group_symop_operation_xyz
'x,y,z'
'-x,-y,-z'
'-x,y,-z'
'x,-y,z'
loop_
_atom_site_label
_atom_site_fract_x
_atom_site_fract_y
_atom_site_fract_z
Tb1 0.000 0.000 0.000
Ce1 0.500 0.500 0.000
Pm1 0.000 0.500 0.500
Pm2 0.500 0.000 0.500
As1 0.248 0.500 0.244
As2 0.251 0.000 0.755
```

Results
* E_form: -1509 meV/atom
* V: 210.4 Å³ per cell
* calculated total energy: -50.74 eV/cell

***

Entry 2:
Nd2HoAg | PBE-GGA | optimized geometry

Structure (CIF):
```
data_Nd2HoAg
_cell_length_a 3.6297
_cell_length_b 3.6297
_cell_length_c 32.0859
_cell_angle_alpha 90.00
_cell_angle_beta 90.00
_cell_angle_gamma 120.00
_space_group_name_H-M_alt 'R -3 m'
_space_group_IT_number 166
_space_group_name_Hall '-R 3 2"'
loop_
_atom_site_label
_atom_site_fract_x
_atom_site_fract_y
_atom_site_fract_z
Nd1 0.0000 0.0000 0.2426
Ho1 0.0000 0.0000 0.0000
Ag1 0.0000 0.0000 0.5000
```

Results
* distance to the lowest polymorph of the same formula: 0.106 eV per atom
* E_form: -6 meV/atom
* V: 366.1 Å³ per cell
* calculated total energy: -50.97 eV/cell

***

Entry 3:
PbSeN2 | PBE-GGA | optimized geometry

Structure (CIF):
```
data_PbSeN2
_cell_length_a 3.1793
_cell_length_b 3.1793
_cell_length_c 21.6079
_cell_angle_alpha 90.00
_cell_angle_beta 90.00
_cell_angle_gamma 120.00
_space_group_name_H-M_alt 'R -3 m'
_space_group_IT_number 166
_space_group_name_Hall '-R 3 2"'
loop_
_atom_site_label
_atom_site_fract_x
_atom_site_fract_y
_atom_site_fract_z
Pb1 0.0000 0.0000 0.0000
Se1 0.0000 0.0000 0.5000
N1 0.0000 0.0000 0.1166
```

Results
* formation energy without anion corrections: 1.184 eV per atom
* distance to the lowest polymorph of the same formula: 1.392 eV per atom
* V: 189.2 Å³ per cell
* calculated total energy: -57.33 eV/cell

***

Entry 4:
MgAlCu4 | PBE-GGA | optimized geometry

Structure (CIF):
```
data_MgAlCu4
_cell_length_a 6.951
_cell_length_b 3.786
_cell_length_c 6.558
_cell_angle_alpha 90.00
_cell_angle_beta 90.00
_cell_angle_gamma 90.00
_space_group_name_H-M_alt 'P m m a'
_space_group_IT_number 51
loop_
_space_group_symop_operation_xyz
'x,y,z'
'-x,-y,-z'
'-x+1/2,-y,z'
'x+1/2,y,-z'
'x+1/2,-y,-z'
'-x+1/2,y,z'
'-x,y,-z'
'x,-y,z'
loop_
_atom_site_label
_atom_site_fract_x
_atom_site_fract_y
_atom_site_fract_z
Mg1 0.250 0.000 0.166
Al1 0.250 0.000 0.750
Cu1 0.000 0.000 0.500
Cu2 0.035 0.500 0.807
Cu3 0.250 0.500 0.471
```

Results
* E_form: 8 meV/atom
* V: 172.6 Å³ per cell
* calculated total energy: -43.35 eV/cell

***

Entry 5:
Rb2PuBr3F3 | PBE-GGA | optimized geometry

Structure (CIF):
```
data_Rb2PuBr3F3
_cell_length_a 8.6683
_cell_length_b 8.6683
_cell_length_c 3.7415
_cell_angle_alpha 90.00
_cell_angle_beta 90.00
_cell_angle_gamma 120.00
_space_group_name_H-M_alt 'P -6 2 m'
_space_group_IT_number 189
_space_group_name_Hall 'P -6 -2'
loop_
_atom_site_label
_atom_site_fract_x
_atom_site_fract_y
_atom_site_fract_z
Rb1 0.3333 0.6667 0.0000
Pu1 0.0000 0.0000 0.5000
Br1 0.0000 0.3494 0.5000
F1 0.0000 0.8315 0.0000
```

Results
* formation energy without anion corrections: -2.262 eV per atom
* V: 243.5 Å³ per cell
* calculated total energy: -47.25 eV/cell

***

Entry 6:
La2Al3Zn4Si | PBE-GGA | optimized geometry

Structure (CIF):
```
data_La2Al3Zn4Si
_cell_length_a 4.337
_cell_length_b 4.337
_cell_length_c 10.564
_cell_angle_alpha 90.00
_cell_angle_beta 90.00
_cell_angle_gamma 90.00
_space_group_name_H-M_alt 'P -4 m 2'
_space_group_IT_number 115
loop_
_space_group_symop_operation_xyz
'x,y,z'
'y,-x,-z'
'-x,-y,z'
'-y,x,-z'
'-x,y,z'
'-y,-x,-z'
'x,-y,z'
'y,x,-z'
loop_
_atom_site_label
_atom_site_fract_x
_atom_site_fract_y
_atom_site_fract_z
La1 0.000 0.500 0.248
Al1 0.000 0.000 0.000
Al2 0.000 0.500 0.631
Zn1 0.000 0.000 0.500
Zn2 0.000 0.500 0.868
Zn3 0.500 0.500 0.500
Si1 0.500 0.500 0.000
```

Results
* formation energy without anion corrections: -0.408 eV per atom
* V: 198.7 Å³ per cell
* calculated total energy: -35.69 eV/cell

***

Question: Which of these has the lowest V?
Answer: MgAlCu4

***

Question: Which value of V does entry 1 give?
Answer: 210.4 Å³ per cell

***

Question: Which value of calculated total energy does entry 1 give?
Answer: -50.74 eV/cell